Here is an optimized crystal structure of Ti2GaPd from Alexandria via LeMat-Bulk. Energies are from PBE-GGA.

The value obtained for the volume is 17.0 Å³/atom. For the formation energy, the calculation gives -0.02 eV/atom. As for the space-group type: I-42d.

Cell: 9.9507 9.9507 9.9507 Å, 158.19 158.19 31.03°
Closest atoms and distances in Å follow each position.
Fractional coordinates of all 8 atoms:
Ti: 0.1150 0.6250 0.9900  4 Ti 2.61-2.72, 2 Ga 2.73, 2 Pd 2.75
Ti: 0.3750 0.3650 0.4900  4 Ti 2.61-2.72, 2 Ga 2.73, 2 Pd 2.75
Ti: 0.6350 0.1250 0.0100  4 Ti 2.61-2.72, 2 Ga 2.73, 2 Pd 2.75
Ti: 0.8750 0.8850 0.5100  4 Ti 2.61-2.72, 2 Ga 2.73, 2 Pd 2.75
Ga: 0.0000 0.0000 0.0000  4 Pd 2.66, 4 Ti 2.73
Ga: 0.7500 0.2500 0.5000  4 Pd 2.66, 4 Ti 2.73
Pd: 0.2500 0.7500 0.5000  4 Ga 2.66, 4 Ti 2.75
Pd: 0.5000 0.5000 0.0000  4 Ga 2.66, 4 Ti 2.75